The following is a DFT calculation (PBE) of an optimized crystal structure of Ba2LiOs.

- calculated formation energy (eV/atom) = 0.69
- total magnetization (μB per formula unit) = 0.6

Cell lengths 8.7397, 5.5058, 3.9764 Å; angles 89.99, 62.96, 129.01 degrees
Fractional coordinates of all 4 atoms:
1 Os 0.5000 0.5000 0.0000
2 Li 0.0000 0.5000 0.5000
3 Ba 0.0000 0.0000 0.0000
4 Ba 0.5000 0.0000 0.5000